No. 1
Computed, not measured: an optimized crystal structure of PrNbAl at the PBE-GGA level of DFT.

Calculated values
symmetry	F-43m
energy above the most stable polymorph in this dataset	0.0	meV/atom

Unit cell a=4.866 b=4.866 c=4.866 alpha=60.00 beta=60.00 gamma=60.00
Positions (direct):
Pr 0.000 0.000 0.000
Nb 0.750 0.750 0.750
Al 0.500 0.500 0.500

***

No. 2
Computed, not measured: an optimized crystal structure of PrNbAl at the PBE-GGA level of DFT.

Calculated values
symmetry	F-43m
energy above the most stable polymorph in this dataset	441.8	meV/atom

Unit cell a=4.973 b=4.973 c=4.973 alpha=60.00 beta=60.00 gamma=60.00
Positions (direct):
Pr 0.000 0.000 0.000
Nb 0.250 0.250 0.250
Al 0.750 0.750 0.750

***

No. 3
Computed, not measured: an optimized crystal structure of Nb2AlPt at the PBE-GGA level of DFT.

Calculated values
symmetry	F-43m

Unit cell a=4.552 b=4.552 c=4.552 alpha=60.00 beta=60.00 gamma=60.00
Positions (direct):
Nb 0.000 0.000 0.000
Nb 0.250 0.250 0.250
Al 0.500 0.500 0.500
Pt 0.750 0.750 0.750

***

No. 4
Computed, not measured: an optimized crystal structure of TaNbAl2Pt2 at the PBE-GGA level of DFT.

Calculated values
symmetry	Pm

Unit cell a=9.099 b=2.921 c=15.657 alpha=90.00 beta=99.98 gamma=90.00
Positions (direct):
Ta 0.000 0.000 0.000
Ta 0.036 0.500 0.630
Ta 0.440 0.500 0.249
Ta 0.882 0.500 0.127
Nb 0.145 0.000 0.499
Nb 0.462 0.000 0.882
Nb 0.571 0.500 0.752
Nb 0.631 0.000 0.377
Al 0.095 0.000 0.821
Al 0.233 0.500 0.100
Al 0.272 0.000 0.352
Al 0.367 0.500 0.603
Al 0.527 0.500 0.072
Al 0.692 0.500 0.561
Al 0.800 0.000 0.848
Al 0.937 0.000 0.316
Pt 0.131 0.000 0.206
Pt 0.244 0.500 0.944
Pt 0.285 0.000 0.716
Pt 0.432 0.500 0.459
Pt 0.676 0.000 0.201
Pt 0.716 0.500 0.963
Pt 0.816 0.000 0.690
Pt 0.884 0.500 0.449

***

No. 5
Computed, not measured: an optimized crystal structure of RbNbAl at the PBE-GGA level of DFT.

Calculated values
symmetry	F-43m
energy above the most stable polymorph in this dataset	0.0	meV/atom

Unit cell a=5.179 b=5.179 c=5.179 alpha=60.00 beta=60.00 gamma=60.00
Positions (direct):
Rb 0.000 0.000 0.000
Nb 0.500 0.500 0.500
Al 0.750 0.750 0.750

***

No. 6
Computed, not measured: an optimized crystal structure of RbNbAl at the PBE-GGA level of DFT.

Calculated values
symmetry	F-43m
energy above the most stable polymorph in this dataset	629.2	meV/atom

Unit cell a=5.462 b=5.462 c=5.462 alpha=60.00 beta=60.00 gamma=60.00
Positions (direct):
Rb 0.000 0.000 0.000
Nb 0.250 0.250 0.250
Al 0.750 0.750 0.750

***

Number 1: uncorrected energy -5.503 eV per atom. Number 2: uncorrected energy -5.062 eV per atom. Number 3: uncorrected energy -7.759 eV per atom. Number 4: uncorrected energy -7.394 eV per atom. Number 5: uncorrected energy -3.339 eV per atom. Number 6: uncorrected energy -2.709 eV per atom.